(1)
# NbTlCo2 GGA-PBE optimized geometry
# Final energy (eV/atom): -6.130
data_NbTlCo2
_space_group_name_H-M_alt 'P 1'
_space_group_IT_number 1
_cell_length_a 4.450
_cell_length_b 4.450
_cell_length_c 4.450
_cell_angle_alpha 60.00
_cell_angle_beta 60.00
_cell_angle_gamma 60.00
loop_
_space_group_symop_operation_xyz
'x,y,z'
loop_
_atom_site_label
_atom_site_type_symbol
_atom_site_fract_x
_atom_site_fract_y
_atom_site_fract_z
_atom_site_occupancy
Nb1 Nb 0.000 0.000 0.000 1
Tl1 Tl 0.750 0.750 0.750 1
Co1 Co 0.250 0.250 0.250 1
Co2 Co 0.500 0.500 0.500 1


(2)
# NbTlZnCo GGA-PBE optimized geometry
# Distance to the lowest polymorph of the same formula (eV per atom): 0.000
# Final energy (eV/atom): -4.887
data_NbTlZnCo
_space_group_name_H-M_alt 'P 1'
_space_group_IT_number 1
_cell_length_a 4.495
_cell_length_b 4.495
_cell_length_c 4.495
_cell_angle_alpha 60.00
_cell_angle_beta 60.00
_cell_angle_gamma 60.00
loop_
_space_group_symop_operation_xyz
'x,y,z'
loop_
_atom_site_label
_atom_site_type_symbol
_atom_site_fract_x
_atom_site_fract_y
_atom_site_fract_z
_atom_site_occupancy
Nb1 Nb 0.000 0.000 0.000 1
Tl1 Tl 0.500 0.500 0.500 1
Zn1 Zn 0.250 0.250 0.250 1
Co1 Co 0.750 0.750 0.750 1


(3)
# NbTlZnCo GGA-PBE optimized geometry
# Distance to the lowest polymorph of the same formula (eV per atom): 0.160
# Final energy (eV/atom): -4.727
data_NbTlZnCo
_space_group_name_H-M_alt 'P 1'
_space_group_IT_number 1
_cell_length_a 4.540
_cell_length_b 4.540
_cell_length_c 4.540
_cell_angle_alpha 60.00
_cell_angle_beta 60.00
_cell_angle_gamma 60.00
loop_
_space_group_symop_operation_xyz
'x,y,z'
loop_
_atom_site_label
_atom_site_type_symbol
_atom_site_fract_x
_atom_site_fract_y
_atom_site_fract_z
_atom_site_occupancy
Nb1 Nb 0.000 0.000 0.000 1
Tl1 Tl 0.250 0.250 0.250 1
Zn1 Zn 0.750 0.750 0.750 1
Co1 Co 0.500 0.500 0.500 1


(4)
# ZrNbTlCo GGA-PBE optimized geometry
# Distance to the lowest polymorph of the same formula (eV per atom): 0.000
# Final energy (eV/atom): -6.677
data_ZrNbTlCo
_space_group_name_H-M_alt 'P 1'
_space_group_IT_number 1
_cell_length_a 4.718
_cell_length_b 4.718
_cell_length_c 4.718
_cell_angle_alpha 60.00
_cell_angle_beta 60.00
_cell_angle_gamma 60.00
loop_
_space_group_symop_operation_xyz
'x,y,z'
loop_
_atom_site_label
_atom_site_type_symbol
_atom_site_fract_x
_atom_site_fract_y
_atom_site_fract_z
_atom_site_occupancy
Zr1 Zr 0.000 0.000 0.000 1
Nb1 Nb 0.250 0.250 0.250 1
Tl1 Tl 0.500 0.500 0.500 1
Co1 Co 0.750 0.750 0.750 1


- Which value of final energy does entry 4 give?
  -6.677 eV/atom


- final energy of number 4 (ZrNbTlCo)?
  -6.677 eV/atom


- final energy of number 1 (NbTlCo2)?
  -6.130 eV/atom